Compound: Ba2FeBr2O2
Source: Alexandria
Functional: GGA+U
Structure: optimized geometry

Structure (POSCAR):
```
Ba2FeBr2O2
1.0
4.298 0.000 0.000
0.000 4.298 0.000
-2.149 -2.149 8.816
O Ba Br Fe
2 2 2 1
direct
0.500 0.000 0.000 O
0.000 0.500 0.000 O
0.601 0.601 0.203 Ba
0.399 0.399 0.797 Ba
0.823 0.823 0.647 Br
0.177 0.177 0.353 Br
0.000 0.000 0.000 Fe
```

magnetic moment = 4.00 μB per formula unit
electronic total energy = -36.48 eV for the cell shown